Record 1
Computed, not measured: crystalline VReP at its relaxed geometry at the PBE level of DFT.

Summary:
- Formation energy: -0.120 eV per atom
- Energy above the lowest structure with this stoichiometry: 124.9 meV per atom
- Crystal system: monoclinic
- Total moment: 0.000 μB per cell

a = 3.091 Å, b = 4.500 Å, c = 8.812 Å
α = 128.11°, β = 90.00°, γ = 110.09°
Atoms (fractional coordinates):
Re 0.916 0.832 0.680
Re 0.084 0.168 0.320
V 0.786 0.573 0.917
V 0.214 0.427 0.083
P 0.810 0.620 0.343
P 0.190 0.380 0.657


Record 2
Computed, not measured: crystalline Tl4Br2O at its relaxed geometry at the PBE level of DFT.

Summary:
- Energy relative to the elements, uncorrected: -0.623 eV/atom
- Energy above the lowest structure with this stoichiometry: 112.8 meV per atom
- Crystal system: tetragonal
- Total moment: 0.000 μB per cell

a = 5.431 Å, b = 5.431 Å, c = 9.383 Å
α = 73.18°, β = 73.18°, γ = 90.00°
Atoms (fractional coordinates):
Tl 0.857 0.857 0.286
Tl 0.143 0.143 0.714
Tl 0.000 0.500 0.000
Tl 0.500 0.000 0.000
O 0.000 0.000 0.000
Br 0.629 0.629 0.743
Br 0.371 0.371 0.257


Record 3
Computed, not measured: crystalline Pr2SiAsRh6 at its relaxed geometry at the PBE level of DFT.

Summary:
- Energy relative to the elements, uncorrected: -0.631 eV/atom
- Crystal system: orthorhombic
- Total moment: 0.000 μB per cell

a = 5.523 Å, b = 7.924 Å, c = 8.688 Å
α = 90.00°, β = 90.00°, γ = 90.00°
Atoms (fractional coordinates):
Pr 0.500 0.715 0.251
Pr 0.000 0.285 0.751
Pr 0.500 0.715 0.749
Pr 0.000 0.285 0.249
Si 0.000 0.745 0.500
Si 0.500 0.255 0.000
As 0.500 0.253 0.500
As 0.000 0.747 0.000
Rh 0.500 0.097 0.251
Rh 0.500 0.097 0.749
Rh 0.000 0.903 0.249
Rh 0.000 0.903 0.751
Rh 0.254 0.986 0.500
Rh 0.746 0.986 0.500
Rh 0.250 0.505 0.500
Rh 0.750 0.505 0.500
Rh 0.750 0.495 0.000
Rh 0.250 0.495 0.000
Rh 0.246 0.014 0.000
Rh 0.754 0.014 0.000


Record 4
Computed, not measured: crystalline Tb6Pm2NdTm3 at its relaxed geometry at the PBE level of DFT.

Summary:
- Formation energy: 0.019 eV per atom
- Crystal system: monoclinic
- Total moment: 0.000 μB per cell

a = 6.179 Å, b = 6.179 Å, c = 11.816 Å
α = 94.99°, β = 94.99°, γ = 119.97°
Atoms (fractional coordinates):
Tb 0.914 0.581 0.745
Tb 0.752 0.752 0.255
Tb 0.086 0.419 0.255
Tb 0.581 0.914 0.745
Tb 0.248 0.248 0.745
Tb 0.419 0.086 0.255
Pm 0.333 0.667 0.000
Pm 0.667 0.333 0.000
Nd 0.000 0.000 0.000
Tm 0.167 0.833 0.500
Tm 0.833 0.167 0.500
Tm 0.500 0.500 0.500


no.,density (Mg/m³),E_tot (eV per atom)
1,10.3,-9.1117
2,6.5,-3.1613
3,8.8,-7.0048
4,8.2,-4.6029